Computed, not measured: a geometry-optimized La3OsPd structure at the PBE level of DFT.

a b c (Å): 8.7299 7.6164 8.9232
angles (deg): 90.00 72.59 90.00
Element x y z (fractional)
La 0.3964 0.1500 0.7729
La 0.6036 0.8500 0.2271
La 0.1036 0.6500 0.2271
La 0.8964 0.3500 0.7729
La 0.5016 0.6892 0.8487
La 0.4984 0.3108 0.1513
La 0.9984 0.1892 0.1513
La 0.0016 0.8108 0.8487
La 0.7847 0.9918 0.5429
La 0.2153 0.0082 0.4571
La 0.7153 0.4918 0.4571
La 0.2847 0.5082 0.5429
Os 0.4771 0.8131 0.5660
Os 0.5229 0.1869 0.4340
Os 0.0229 0.3131 0.4340
Os 0.9771 0.6869 0.5660
Pd 0.6815 0.0380 0.9104
Pd 0.3185 0.9620 0.0896
Pd 0.8185 0.5380 0.0896
Pd 0.1815 0.4620 0.9104

Output
DOS(E_F) = 15.43 states/eV/cell
Raw total energy = -33.186 eV/f.u.
Formation energy = -0.396 eV per atom
E above lowest polymorph = 0.0 meV/atom
Total moment = 0.00 μB/f.u.

Computed, not measured: a geometry-optimized La6OsPd3 structure at the PBE level of DFT.

a b c (Å): 7.0953 7.8684 10.8500
angles (deg): 90.00 91.20 90.00
Element x y z (fractional)
La 0.3225 0.8274 0.9279
La 0.3357 0.8127 0.5789
La 0.3437 0.5549 0.2567
La 0.6563 0.4451 0.7433
La 0.6643 0.1873 0.4211
La 0.6775 0.1726 0.0721
La 0.8225 0.6726 0.4279
La 0.8357 0.6873 0.0789
La 0.8437 0.9451 0.7567
La 0.1563 0.0549 0.2433
La 0.1643 0.3127 0.9211
La 0.1775 0.3274 0.5721
Os 0.5000 0.5000 0.5000
Os 0.0000 0.0000 0.0000
Pd 0.4492 0.1102 0.7549
Pd 0.5000 0.5000 0.0000
Pd 0.5508 0.8898 0.2451
Pd 0.9492 0.3898 0.2549
Pd 0.0000 0.0000 0.5000
Pd 0.0508 0.6102 0.7451

Output
DOS(E_F) = 15.19 states/eV/cell
Raw total energy = -61.557 eV/f.u.
Formation energy = -0.518 eV per atom
Total moment = 0.00 μB/f.u.

Computed, not measured: a geometry-optimized LaOs2Pd structure at the PBE level of DFT.

a b c (Å): 4.1938 4.1938 10.2702
angles (deg): 78.22 78.22 90.00
Element x y z (fractional)
Os 0.5122 0.1250 0.2500
Os 0.2378 0.6250 0.2500
Os 0.3750 0.4878 0.7500
Os 0.8750 0.7622 0.7500
Pd 0.5000 0.5000 0.0000
Pd 0.2500 0.7500 0.5000
La 0.0000 0.0000 0.0000
La 0.7500 0.2500 0.5000

Output
DOS(E_F) = 12.67 states/eV/cell
Raw total energy = -31.104 eV/f.u.
Formation energy = 0.369 eV per atom
E above lowest polymorph = 0.0 meV/atom
Total moment = 0.00 μB/f.u.

Computed, not measured: a geometry-optimized La3OsPd structure at the PBE level of DFT.

a b c (Å): 5.5236 5.5236 5.5236
angles (deg): 90.00 90.00 90.00
Element x y z (fractional)
Os 0.0000 0.0000 0.0000
Pd 0.5000 0.5000 0.5000
La 0.0000 0.5000 0.0000
La 0.0000 0.0000 0.5000
La 0.5000 0.0000 0.0000

Output
DOS(E_F) = 3.66 states/eV/cell
Raw total energy = -31.401 eV/f.u.
Formation energy = -0.039 eV per atom
E above lowest polymorph = 356.9 meV/atom
Total moment = 0.00 μB/f.u.